No. 1
The following is a PBE-GGA calculation of a relaxed structure of AcCdCu, from the Open Quantum Materials Database.

Results
**Offset from the most stable computed form**: 0.0 meV/atom
**Formation energy from the elements**: -12.2 kJ/mol of atoms

Cell and atoms, written as CIF:
```
data_AcCdCu
_space_group_name_H-M_alt 'P 1'
_space_group_IT_number 1
_cell_length_a 4.916
_cell_length_b 4.916
_cell_length_c 4.916
_cell_angle_alpha 60.00
_cell_angle_beta 60.00
_cell_angle_gamma 60.00
loop_
_space_group_symop_operation_xyz
'x,y,z'
loop_
_atom_site_label
_atom_site_type_symbol
_atom_site_fract_x
_atom_site_fract_y
_atom_site_fract_z
_atom_site_occupancy
Cu1 Cu 0.500 0.500 0.500 1
Cd1 Cd 0.250 0.250 0.250 1
Ac1 Ac 0.750 0.750 0.750 1
```

=====

No. 2
The following is a PBE-GGA calculation of a relaxed structure of AcCdCu, from the Open Quantum Materials Database.

Results
**Offset from the most stable computed form**: 472.6 meV/atom
**Formation energy from the elements**: 33.4 kJ/mol of atoms

Cell and atoms, written as CIF:
```
data_AcCdCu
_space_group_name_H-M_alt 'P 1'
_space_group_IT_number 1
_cell_length_a 5.166
_cell_length_b 5.166
_cell_length_c 5.166
_cell_angle_alpha 60.00
_cell_angle_beta 60.00
_cell_angle_gamma 60.00
loop_
_space_group_symop_operation_xyz
'x,y,z'
loop_
_atom_site_label
_atom_site_type_symbol
_atom_site_fract_x
_atom_site_fract_y
_atom_site_fract_z
_atom_site_occupancy
Cu1 Cu 0.750 0.750 0.750 1
Cd1 Cd 0.250 0.250 0.250 1
Ac1 Ac 0.000 0.000 0.000 1
```

=====

No. 3
The following is a PBE-GGA calculation of a relaxed structure of AcCdGa, from the Open Quantum Materials Database.

Cell and atoms, written as CIF:
```
data_AcCdGa
_space_group_name_H-M_alt 'P 1'
_space_group_IT_number 1
_cell_length_a 5.033
_cell_length_b 5.033
_cell_length_c 5.033
_cell_angle_alpha 60.00
_cell_angle_beta 60.00
_cell_angle_gamma 60.00
loop_
_space_group_symop_operation_xyz
'x,y,z'
loop_
_atom_site_label
_atom_site_type_symbol
_atom_site_fract_x
_atom_site_fract_y
_atom_site_fract_z
_atom_site_occupancy
Ga1 Ga 0.000 0.000 0.000 1
Cd1 Cd 0.750 0.750 0.750 1
Ac1 Ac 0.250 0.250 0.250 1
```

=====

Summary of E in eV per atom
-3.03 -2.56 -3.05
(order as listed above)